# Ca3Pr2Cd4

A relaxed Ca3Pr2Cd4 crystal (PBE, Alexandria).

abc: 6.9818 8.1029 10.4376
angles: 90.00 109.54 90.00
Atoms (fractional coordinates):
Ca 0.0000 0.0000 0.0000
Ca 0.5000 0.5000 0.0000
Ca 0.5095 0.7500 0.5191
Ca 0.9905 0.2500 0.4809
Ca 0.4905 0.2500 0.4809
Ca 0.0095 0.7500 0.5191
Pr 0.0915 0.5968 0.1829
Pr 0.9085 0.4032 0.8171
Pr 0.4085 0.0968 0.8171
Pr 0.5915 0.9032 0.1829
Cd 0.6746 0.7500 0.8492
Cd 0.8254 0.2500 0.1508
Cd 0.3254 0.2500 0.1508
Cd 0.1746 0.7500 0.8492
Cd 0.1559 0.9789 0.3118
Cd 0.8441 0.0211 0.6882
Cd 0.3441 0.4789 0.6882
Cd 0.6559 0.5211 0.3118

Results
Mass density   5.08 g/cm3
N(E_F)   1.28 states/eV per atom
DFT formation energy   -0.177 eV per atom
Total moment   0.00 μB/atom
Distance to the lowest polymorph of the same formula   103 meV/atom